Record 1
DFT (PBE-GGA) results for crystalline BaAgC2Se at its relaxed geometry.

Lattice parameters (Å, degrees): 4.3386 4.3386 6.1399 90.00 90.00 90.00
Space group P4/mmm (No. 123)
Asymmetric unit:
Ba (0.0000, 0.0000, 0.0000) [1 per cell]
Ag (0.5000, 0.5000, 0.0000) [1 per cell]
C (0.0000, 0.5000, 0.5000) [2 per cell]
Se (0.0000, 0.0000, 0.5000) [1 per cell]

As for the crystal system: tetragonal. The calculation puts the formation energy (no corrections) at 1.93 eV/atom. For the total energy, the calculation gives -3.412 eV per atom.

---

Record 2
DFT (PBE-GGA) results for crystalline ErBr2Cl at its relaxed geometry.

Lattice parameters (Å, degrees): 3.6630 11.6696 7.2515 90.00 90.00 90.00
Space group Imm2 (No. 44)
Asymmetric unit:
Er (0.0000, 0.0000, 0.0000) [2 per cell]
Br (0.0000, 0.3438, 0.6498) [4 per cell]
Cl (0.0000, 0.5000, 0.2361) [2 per cell]

The value obtained for the energy above the most stable polymorph in this dataset is 35 meV/atom. As for the crystal system: orthorhombic. The calculation puts the formation energy (no corrections) at -1.95 eV/atom. For the total energy, the calculation gives -4.388 eV per atom.

---

Record 3
DFT (PBE-GGA) results for crystalline Ag2PS6 at its relaxed geometry.

Lattice parameters (Å, degrees): 5.8269 5.8269 10.9008 90.00 90.00 90.00
Space group P4_2/mnm (No. 136)
Asymmetric unit:
Ag (0.0000, 0.0000, 0.1717) [4 per cell]
P (0.0000, 0.0000, 0.5000) [2 per cell]
S (0.1761, 0.1761, 0.3520) [8 per cell]
S (0.2125, 0.2125, 0.0000) [4 per cell]

As for the crystal system: tetragonal. The calculation puts the formation energy (no corrections) at 0.36 eV/atom. For the total energy, the calculation gives -3.627 eV per atom.

---

Record 4
DFT (PBE-GGA) results for crystalline LiAlSe2N at its relaxed geometry.

Lattice parameters (Å, degrees): 5.2332 5.2332 3.5266 90.00 90.00 90.00
Space group P4/mmm (No. 123)
Asymmetric unit:
Li (0.0000, 0.0000, 0.0000) [1 per cell]
Al (0.5000, 0.5000, 0.5000) [1 per cell]
Se (0.0000, 0.5000, 0.5000) [2 per cell]
N (0.5000, 0.5000, 0.0000) [1 per cell]

The value obtained for the energy above the most stable polymorph in this dataset is 0 meV/atom. As for the crystal system: tetragonal. The calculation puts the formation energy (no corrections) at -0.03 eV/atom. For the total energy, the calculation gives -4.221 eV per atom.

---

Question: total energy of number 1 (BaAgC2Se)?
Answer: -3.412 eV per atom